(1)
Compound: Pr4HoCd5
Source: Alexandria
Functional: PBE
Structure: relaxed

Lattice parameters (Å, degrees): 3.837 3.837 19.419 90.00 90.00 90.00
Atoms (fractional coordinates):
Pr 0.000 0.000 0.102
Pr 0.000 0.000 0.306
Pr 0.000 0.000 0.694
Pr 0.000 0.000 0.898
Ho 0.000 0.000 0.500
Cd 0.500 0.500 0.000
Cd 0.500 0.500 0.203
Cd 0.500 0.500 0.410
Cd 0.500 0.500 0.590
Cd 0.500 0.500 0.797

space group	P4/mmm, No. 123
calculated formation energy	-0.315	eV/atom
Fermi-level density of states	1.177	states/eV per atom



(2)
Compound: Pr6HoCd2
Source: Alexandria
Functional: PBE
Structure: relaxed

Lattice parameters (Å, degrees): 6.822 6.822 12.313 108.10 108.10 32.79
Atoms (fractional coordinates):
Pr 0.021 0.021 0.336
Pr 0.310 0.310 0.410
Pr 0.316 0.316 0.123
Pr 0.684 0.684 0.877
Pr 0.690 0.690 0.590
Pr 0.979 0.979 0.664
Ho 0.000 0.000 0.000
Cd 0.359 0.359 0.805
Cd 0.641 0.641 0.195

space group	C2/m, No. 12
calculated formation energy	-0.131	eV/atom
Fermi-level density of states	1.057	states/eV per atom



(3)
Compound: Pr2HoCd2
Source: Alexandria
Functional: PBE
Structure: relaxed

Lattice parameters (Å, degrees): 3.780 5.415 14.436 90.00 97.51 90.00
Atoms (fractional coordinates):
Pr 0.044 0.250 0.086
Pr 0.233 0.250 0.468
Pr 0.767 0.750 0.532
Pr 0.956 0.750 0.914
Ho 0.150 0.750 0.299
Ho 0.850 0.250 0.701
Cd 0.362 0.750 0.724
Cd 0.441 0.250 0.883
Cd 0.559 0.750 0.117
Cd 0.638 0.250 0.276

space group	P2_1/m, No. 11
calculated formation energy	-0.240	eV/atom
Fermi-level density of states	1.078	states/eV per atom



(4)
Compound: Pr4HoCd2
Source: Alexandria
Functional: PBE
Structure: relaxed

Lattice parameters (Å, degrees): 9.445 9.445 9.445 34.82 34.82 34.82
Atoms (fractional coordinates):
Pr 0.130 0.130 0.130
Pr 0.265 0.265 0.265
Pr 0.735 0.735 0.735
Pr 0.870 0.870 0.870
Ho 0.500 0.500 0.500
Cd 0.386 0.386 0.386
Cd 0.614 0.614 0.614

space group	R-3m, No. 166
calculated formation energy	0.089	eV/atom
Fermi-level density of states	1.436	states/eV per atom



(5)
Compound: PrHoCd4
Source: Alexandria
Functional: PBE
Structure: relaxed

Lattice parameters (Å, degrees): 3.449 5.040 8.740 90.00 90.00 90.00
Atoms (fractional coordinates):
Pr 0.000 0.000 0.000
Ho 0.000 0.500 0.500
Cd 0.500 0.000 0.338
Cd 0.500 0.000 0.662
Cd 0.500 0.500 0.173
Cd 0.500 0.500 0.827

space group	Pmmm, No. 47
calculated formation energy	-0.326	eV/atom
Fermi-level density of states	0.697	states/eV per atom



(6)
Compound: Pr12HoCd3
Source: Alexandria
Functional: PBE
Structure: relaxed

Lattice parameters (Å, degrees): 5.045 5.045 20.440 90.00 90.00 90.00
Atoms (fractional coordinates):
Pr 0.000 0.000 0.000
Pr 0.000 0.000 0.247
Pr 0.000 0.000 0.500
Pr 0.000 0.000 0.753
Pr 0.000 0.500 0.123
Pr 0.000 0.500 0.370
Pr 0.000 0.500 0.630
Pr 0.000 0.500 0.877
Pr 0.500 0.000 0.123
Pr 0.500 0.000 0.370
Pr 0.500 0.000 0.630
Pr 0.500 0.000 0.877
Ho 0.500 0.500 0.500
Cd 0.500 0.500 0.000
Cd 0.500 0.500 0.244
Cd 0.500 0.500 0.756

space group	P4/mmm, No. 123
calculated formation energy	-0.079	eV/atom
Fermi-level density of states	1.492	states/eV per atom



(7)
Compound: Pr12Ho7Cd
Source: Alexandria
Functional: PBE
Structure: relaxed

Lattice parameters (Å, degrees): 10.007 10.007 10.007 109.47 109.47 109.47
Atoms (fractional coordinates):
Pr 0.063 0.276 0.788
Pr 0.212 0.488 0.276
Pr 0.212 0.937 0.724
Pr 0.276 0.212 0.488
Pr 0.276 0.788 0.063
Pr 0.488 0.276 0.212
Pr 0.512 0.724 0.788
Pr 0.724 0.212 0.937
Pr 0.724 0.788 0.512
Pr 0.788 0.063 0.276
Pr 0.788 0.512 0.724
Pr 0.937 0.724 0.212
Ho 0.000 0.000 0.500
Ho 0.000 0.500 0.000
Ho 0.000 0.500 0.500
Ho 0.500 0.000 0.000
Ho 0.500 0.000 0.500
Ho 0.500 0.500 0.000
Ho 0.500 0.500 0.500
Cd 0.000 0.000 0.000

space group	Im-3, No. 204
calculated formation energy	0.674	eV/atom
Fermi-level density of states	1.254	states/eV per atom



(8)
Compound: Pr2HoCd2
Source: Alexandria
Functional: PBE
Structure: relaxed

Lattice parameters (Å, degrees): 8.012 8.012 8.012 118.34 79.43 135.14
Atoms (fractional coordinates):
Pr 0.210 0.150 0.360
Pr 0.290 0.650 0.940
Pr 0.710 0.350 0.060
Pr 0.790 0.850 0.640
Ho 0.250 0.750 0.500
Ho 0.750 0.250 0.500
Cd 0.056 0.832 0.888
Cd 0.444 0.332 0.776
Cd 0.556 0.668 0.224
Cd 0.944 0.168 0.112

space group	Ibam, No. 72
calculated formation energy	-0.042	eV/atom
Fermi-level density of states	1.385	states/eV per atom



(9)
Compound: PrHo2Cd
Source: Alexandria
Functional: PBE
Structure: relaxed

Lattice parameters (Å, degrees): 4.891 4.891 4.895 90.00 90.00 90.00
Atoms (fractional coordinates):
Pr 0.000 0.000 0.000
Ho 0.000 0.500 0.500
Ho 0.500 0.000 0.500
Cd 0.500 0.500 0.000

space group	P4/mmm, No. 123
calculated formation energy	-0.089	eV/atom
Fermi-level density of states	1.467	states/eV per atom



(10)
Compound: Pr2Ho3Cd4
Source: Alexandria
Functional: PBE
Structure: relaxed

Lattice parameters (Å, degrees): 9.855 9.855 8.261 90.00 90.00 139.29
Atoms (fractional coordinates):
Pr 0.093 0.907 0.900
Pr 0.407 0.593 0.400
Pr 0.593 0.407 0.600
Pr 0.907 0.093 0.100
Ho 0.000 0.000 0.500
Ho 0.004 0.496 0.750
Ho 0.496 0.004 0.250
Ho 0.500 0.500 0.000
Ho 0.504 0.996 0.750
Ho 0.996 0.504 0.250
Cd 0.163 0.837 0.512
Cd 0.175 0.325 0.750
Cd 0.325 0.175 0.250
Cd 0.337 0.663 0.012
Cd 0.663 0.337 0.988
Cd 0.675 0.825 0.750
Cd 0.825 0.675 0.250
Cd 0.837 0.163 0.488

space group	Cmce, No. 64
calculated formation energy	-0.173	eV/atom
Fermi-level density of states	0.908	states/eV per atom



(11)
Compound: Pr2HoCd5
Source: Alexandria
Functional: PBE
Structure: relaxed

Lattice parameters (Å, degrees): 8.609 8.609 8.609 145.02 145.02 50.31
Atoms (fractional coordinates):
Pr 0.238 0.238 0.000
Pr 0.762 0.762 0.000
Ho 0.500 0.500 0.000
Cd 0.000 0.000 0.000
Cd 0.113 0.613 0.500
Cd 0.387 0.887 0.500
Cd 0.613 0.113 0.500
Cd 0.887 0.387 0.500

space group	I4/mmm, No. 139
calculated formation energy	-0.297	eV/atom
Fermi-level density of states	0.677	states/eV per atom



(12)
Compound: PrHo2Cd
Source: Alexandria
Functional: PBE
Structure: relaxed

Lattice parameters (Å, degrees): 5.485 5.485 5.485 60.00 60.00 60.00
Atoms (fractional coordinates):
Pr 0.000 0.000 0.000
Ho 0.250 0.250 0.250
Ho 0.750 0.750 0.750
Cd 0.500 0.500 0.500

space group	Fm-3m, No. 225
calculated formation energy	0.029	eV/atom
Fermi-level density of states	1.634	states/eV per atom



(13)
Compound: Pr2Ho2Cd
Source: Alexandria
Functional: PBE
Structure: relaxed

Lattice parameters (Å, degrees): 8.851 8.851 6.851 90.00 90.00 145.43
Atoms (fractional coordinates):
Pr 0.003 0.997 0.500
Pr 0.200 0.800 0.498
Pr 0.800 0.200 0.998
Pr 0.997 0.003 0.000
Ho 0.196 0.804 0.985
Ho 0.393 0.607 0.741
Ho 0.607 0.393 0.241
Ho 0.804 0.196 0.485
Cd 0.391 0.609 0.247
Cd 0.609 0.391 0.747

space group	Cmc2_1, No. 36
calculated formation energy	-0.019	eV/atom
Fermi-level density of states	1.187	states/eV per atom



(14)
Compound: PrHo3Cd2
Source: Alexandria
Functional: PBE
Structure: relaxed

Lattice parameters (Å, degrees): 3.683 3.683 12.640 90.00 90.00 90.00
Atoms (fractional coordinates):
Pr 0.000 0.000 0.000
Ho 0.500 0.500 0.200
Ho 0.500 0.500 0.500
Ho 0.500 0.500 0.800
Cd 0.000 0.000 0.350
Cd 0.000 0.000 0.650

space group	P4/mmm, No. 123
calculated formation energy	-0.203	eV/atom
Fermi-level density of states	1.148	states/eV per atom



(15)
Compound: PrHoCd2
Source: Alexandria
Functional: PBE
Structure: relaxed

Lattice parameters (Å, degrees): 5.388 5.388 5.388 60.00 60.00 60.00
Atoms (fractional coordinates):
Pr 0.000 0.000 0.000
Ho 0.500 0.500 0.500
Cd 0.250 0.250 0.250
Cd 0.750 0.750 0.750

space group	Fm-3m, No. 225
calculated formation energy	-0.310	eV/atom
Fermi-level density of states	1.050	states/eV per atom



(16)
Compound: Pr2HoCd
Source: Alexandria
Functional: PBE
Structure: relaxed

Lattice parameters (Å, degrees): 3.738 3.738 9.047 90.00 90.00 90.00
Atoms (fractional coordinates):
Pr 0.000 0.000 0.229
Pr 0.000 0.000 0.771
Ho 0.500 0.500 0.500
Cd 0.500 0.500 0.000

space group	P4/mmm, No. 123
calculated formation energy	-0.133	eV/atom
Fermi-level density of states	1.217	states/eV per atom



(17)
Compound: PrHoCd17
Source: Alexandria
Functional: PBE
Structure: relaxed

Lattice parameters (Å, degrees): 7.673 7.673 7.673 82.07 82.07 82.07
Atoms (fractional coordinates):
Pr 0.000 0.000 0.000
Ho 0.657 0.657 0.657
Cd 0.028 0.335 0.632
Cd 0.028 0.632 0.335
Cd 0.207 0.678 0.678
Cd 0.240 0.240 0.240
Cd 0.310 0.310 0.856
Cd 0.310 0.856 0.310
Cd 0.335 0.028 0.632
Cd 0.335 0.632 0.028
Cd 0.437 0.437 0.437
Cd 0.539 0.954 0.954
Cd 0.632 0.028 0.335
Cd 0.632 0.335 0.028
Cd 0.678 0.207 0.678
Cd 0.678 0.678 0.207
Cd 0.856 0.310 0.310
Cd 0.954 0.539 0.954
Cd 0.954 0.954 0.539

space group	R3m, No. 160
calculated formation energy	-0.130	eV/atom
Fermi-level density of states	0.270	states/eV per atom



(18)
Compound: PrHo5Cd4
Source: Alexandria
Functional: PBE
Structure: relaxed

Lattice parameters (Å, degrees): 3.703 3.703 20.116 90.00 90.00 90.00
Atoms (fractional coordinates):
Pr 0.000 0.000 0.000
Ho 0.500 0.500 0.125
Ho 0.500 0.500 0.313
Ho 0.500 0.500 0.500
Ho 0.500 0.500 0.687
Ho 0.500 0.500 0.875
Cd 0.000 0.000 0.218
Cd 0.000 0.000 0.406
Cd 0.000 0.000 0.594
Cd 0.000 0.000 0.782

space group	P4/mmm, No. 123
calculated formation energy	-0.247	eV/atom
Fermi-level density of states	1.144	states/eV per atom



(19)
Compound: Pr3Ho2Cd
Source: Alexandria
Functional: PBE
Structure: relaxed

Lattice parameters (Å, degrees): 3.673 3.673 14.345 90.00 90.00 90.00
Atoms (fractional coordinates):
Pr 0.000 0.000 0.000
Pr 0.000 0.000 0.350
Pr 0.000 0.000 0.650
Ho 0.500 0.500 0.174
Ho 0.500 0.500 0.826
Cd 0.500 0.500 0.500

space group	P4/mmm, No. 123
calculated formation energy	-0.082	eV/atom
Fermi-level density of states	1.376	states/eV per atom



(20)
Compound: PrHo2Cd
Source: Alexandria
Functional: PBE
Structure: relaxed

Lattice parameters (Å, degrees): 6.648 6.648 6.648 146.83 130.67 60.74
Atoms (fractional coordinates):
Pr 0.000 0.000 0.000
Ho 0.276 0.776 0.500
Ho 0.724 0.224 0.500
Cd 0.500 0.500 0.000

space group	Immm, No. 71
calculated formation energy	-0.145	eV/atom
Fermi-level density of states	1.107	states/eV per atom